i:
Entry from Alexandria: crystalline Er2FePb at its relaxed geometry (PBE).

```
data_Er2FePb
_chemical_formula_sum 'Er2 Fe1 Pb1'
_symmetry_space_group_name_H-M 'P 1'
_symmetry_Int_Tables_number 1
_symmetry_space_group_name_Hall 'P 1'
_cell_length_a 3.3438
_cell_length_b 3.3438
_cell_length_c 8.2006
_cell_angle_alpha 90.00
_cell_angle_beta 90.00
_cell_angle_gamma 90.00
loop_
_atom_site_label
_atom_site_fract_x
_atom_site_fract_y
_atom_site_fract_z
Fe1 0.5000 0.5000 0.0000
Pb1 0.5000 0.5000 0.5000
Er1 0.0000 0.0000 0.1951
Er2 0.0000 0.0000 0.8049
```

Values from the calculation:
Symmetry: P4/mmm, No. 123
Magnetization (μB/f.u.): 0.0
Calculated density (g/cm³): 10.8

---

ii:
Entry from Alexandria: crystalline Er2FePb at its relaxed geometry (PBE).

```
data_Er2FePb
_chemical_formula_sum 'Er2 Fe1 Pb1'
_symmetry_space_group_name_H-M 'P 1'
_symmetry_Int_Tables_number 1
_symmetry_space_group_name_Hall 'P 1'
_cell_length_a 3.5462
_cell_length_b 3.5462
_cell_length_c 10.1200
_cell_angle_alpha 79.91
_cell_angle_beta 79.91
_cell_angle_gamma 60.00
loop_
_atom_site_label
_atom_site_fract_x
_atom_site_fract_y
_atom_site_fract_z
Er1 0.8920 0.8920 0.3240
Er2 0.1080 0.1080 0.6760
Pb1 0.0000 0.0000 0.0000
Fe1 0.5000 0.5000 0.5000
```

Values from the calculation:
Symmetry: R-3m, No. 166
Magnetization (μB/f.u.): 0.9
Calculated density (g/cm³): 9.2

---

Which of them is most stable, and which least? Most stable: i; least stable: ii.

---

i:
Entry from Alexandria: crystalline Er8FePd2 at its relaxed geometry (PBE).

```
data_Er8FePd2
_chemical_formula_sum 'Er8 Fe1 Pd2'
_symmetry_space_group_name_H-M 'P 1'
_symmetry_Int_Tables_number 1
_symmetry_space_group_name_Hall 'P 1'
_cell_length_a 5.0347
_cell_length_b 6.6757
_cell_length_c 8.8329
_cell_angle_alpha 106.40
_cell_angle_beta 106.56
_cell_angle_gamma 90.00
loop_
_atom_site_label
_atom_site_fract_x
_atom_site_fract_y
_atom_site_fract_z
Pd1 0.1868 0.7113 0.3736
Pd2 0.8132 0.2887 0.6264
Er1 0.0301 0.7954 0.0601
Er2 0.6619 0.9666 0.3237
Er3 0.5903 0.4329 0.1806
Er4 0.4097 0.5671 0.8194
Er5 0.9699 0.2046 0.9399
Er6 0.3381 0.0334 0.6763
Er7 0.2007 0.3091 0.4014
Er8 0.7993 0.6909 0.5986
Fe1 0.5000 0.0000 0.0000
```

Values from the calculation:
Symmetry: C2/m, No. 12
Magnetization (μB/f.u.): 0.0
Calculated density (g/cm³): 9.8

---

ii:
Entry from Alexandria: crystalline Er8FePd2 at its relaxed geometry (PBE).

```
data_Er8FePd2
_chemical_formula_sum 'Er8 Fe1 Pd2'
_symmetry_space_group_name_H-M 'P 1'
_symmetry_Int_Tables_number 1
_symmetry_space_group_name_Hall 'P 1'
_cell_length_a 5.9679
_cell_length_b 7.6233
_cell_length_c 7.6233
_cell_angle_alpha 115.33
_cell_angle_beta 102.04
_cell_angle_gamma 102.04
loop_
_atom_site_label
_atom_site_fract_x
_atom_site_fract_y
_atom_site_fract_z
Pd1 0.4874 0.3184 0.7002
Pd2 0.4874 0.7002 0.3184
Er1 0.3654 0.9164 0.6669
Er2 0.9881 0.1952 0.7998
Er3 0.9881 0.7998 0.1952
Er4 0.5835 0.3423 0.0930
Er5 0.8088 0.6523 0.6523
Er6 0.3654 0.6669 0.9164
Er7 0.1701 0.3503 0.3503
Er8 0.5835 0.0930 0.3423
Fe1 0.1720 0.9991 0.9991
```

Values from the calculation:
Symmetry: Cm, No. 8
Magnetization (μB/f.u.): 0.0
Calculated density (g/cm³): 9.2

---

Which of them is most stable, and which least? Most stable: i; least stable: ii.

---

i:
Entry from Alexandria: crystalline Er2FePd at its relaxed geometry (PBE).

```
data_Er2FePd
_chemical_formula_sum 'Er2 Fe1 Pd1'
_symmetry_space_group_name_H-M 'P 1'
_symmetry_Int_Tables_number 1
_symmetry_space_group_name_Hall 'P 1'
_cell_length_a 3.3773
_cell_length_b 3.3773
_cell_length_c 6.7815
_cell_angle_alpha 90.00
_cell_angle_beta 90.00
_cell_angle_gamma 90.00
loop_
_atom_site_label
_atom_site_fract_x
_atom_site_fract_y
_atom_site_fract_z
Pd1 0.5000 0.5000 0.5000
Er1 0.0000 0.0000 0.2356
Er2 0.0000 0.0000 0.7644
Fe1 0.5000 0.5000 0.0000
```

Values from the calculation:
Symmetry: P4/mmm, No. 123
Magnetization (μB/f.u.): 0.0
Calculated density (g/cm³): 10.7

---

ii:
Entry from Alexandria: crystalline Er2FePd at its relaxed geometry (PBE).

```
data_Er2FePd
_chemical_formula_sum 'Er2 Fe1 Pd1'
_symmetry_space_group_name_H-M 'P 1'
_symmetry_Int_Tables_number 1
_symmetry_space_group_name_Hall 'P 1'
_cell_length_a 4.7990
_cell_length_b 4.7990
_cell_length_c 4.7990
_cell_angle_alpha 60.00
_cell_angle_beta 60.00
_cell_angle_gamma 60.00
loop_
_atom_site_label
_atom_site_fract_x
_atom_site_fract_y
_atom_site_fract_z
Er1 0.7500 0.7500 0.7500
Er2 0.2500 0.2500 0.2500
Fe1 0.0000 0.0000 0.0000
Pd1 0.5000 0.5000 0.5000
```

Values from the calculation:
Symmetry: Fm-3m, No. 225
Magnetization (μB/f.u.): 0.6
Calculated density (g/cm³): 10.6

---

Which of them is most stable, and which least? Most stable: i; least stable: ii.

---

i:
Entry from Alexandria: crystalline PmEr2Fe at its relaxed geometry (PBE).

```
data_PmEr2Fe
_chemical_formula_sum 'Pm1 Er2 Fe1'
_symmetry_space_group_name_H-M 'P 1'
_symmetry_Int_Tables_number 1
_symmetry_space_group_name_Hall 'P 1'
_cell_length_a 3.4560
_cell_length_b 3.4560
_cell_length_c 10.8162
_cell_angle_alpha 80.81
_cell_angle_beta 80.81
_cell_angle_gamma 60.00
loop_
_atom_site_label
_atom_site_fract_x
_atom_site_fract_y
_atom_site_fract_z
Er1 0.1092 0.1092 0.6724
Er2 0.8908 0.8908 0.3276
Pm1 0.0000 0.0000 0.0000
Fe1 0.5000 0.5000 0.5000
```

Values from the calculation:
Symmetry: R-3m, No. 166
Magnetization (μB/f.u.): 1.0
Calculated density (g/cm³): 8.1

---

ii:
Entry from Alexandria: crystalline PmEr2Fe at its relaxed geometry (PBE).

```
data_PmEr2Fe
_chemical_formula_sum 'Pm1 Er2 Fe1'
_symmetry_space_group_name_H-M 'P 1'
_symmetry_Int_Tables_number 1
_symmetry_space_group_name_Hall 'P 1'
_cell_length_a 3.3430
_cell_length_b 3.3430
_cell_length_c 9.0304
_cell_angle_alpha 90.00
_cell_angle_beta 90.00
_cell_angle_gamma 90.00
loop_
_atom_site_label
_atom_site_fract_x
_atom_site_fract_y
_atom_site_fract_z
Pm1 0.5000 0.5000 0.5000
Er1 0.0000 0.0000 0.8243
Er2 0.0000 0.0000 0.1757
Fe1 0.5000 0.5000 0.0000
```

Values from the calculation:
Symmetry: P4/mmm, No. 123
Magnetization (μB/f.u.): 0.0
Calculated density (g/cm³): 8.8

---

Which of them is most stable, and which least? Most stable: ii; least stable: i.

---

i:
Entry from Alexandria: crystalline PrEr2Fe at its relaxed geometry (PBE).

```
data_PrEr2Fe
_chemical_formula_sum 'Pr1 Er2 Fe1'
_symmetry_space_group_name_H-M 'P 1'
_symmetry_Int_Tables_number 1
_symmetry_space_group_name_Hall 'P 1'
_cell_length_a 3.4789
_cell_length_b 3.4789
_cell_length_c 10.8330
_cell_angle_alpha 80.76
_cell_angle_beta 80.76
_cell_angle_gamma 60.00
loop_
_atom_site_label
_atom_site_fract_x
_atom_site_fract_y
_atom_site_fract_z
Fe1 0.5000 0.5000 0.5000
Pr1 0.0000 0.0000 0.0000
Er1 0.8902 0.8902 0.3295
Er2 0.1098 0.1098 0.6705
```

Values from the calculation:
Symmetry: R-3m, No. 166
Magnetization (μB/f.u.): 1.0
Calculated density (g/cm³): 7.9

---

ii:
Entry from Alexandria: crystalline PrEr2Fe at its relaxed geometry (PBE).

```
data_PrEr2Fe
_chemical_formula_sum 'Pr1 Er2 Fe1'
_symmetry_space_group_name_H-M 'P 1'
_symmetry_Int_Tables_number 1
_symmetry_space_group_name_Hall 'P 1'
_cell_length_a 3.3569
_cell_length_b 3.3569
_cell_length_c 9.0977
_cell_angle_alpha 90.00
_cell_angle_beta 90.00
_cell_angle_gamma 90.00
loop_
_atom_site_label
_atom_site_fract_x
_atom_site_fract_y
_atom_site_fract_z
Er1 0.0000 0.0000 0.8262
Er2 0.0000 0.0000 0.1738
Fe1 0.5000 0.5000 0.0000
Pr1 0.5000 0.5000 0.5000
```

Values from the calculation:
Symmetry: P4/mmm, No. 123
Magnetization (μB/f.u.): 0.0
Calculated density (g/cm³): 8.6

---

Which of them is most stable, and which least? Most stable: ii; least stable: i.